Version one
The following is a PBE-GGA calculation of a geometry-optimized AsAu2N structure, from the Alexandria database.

Unit cell a=5.9629 b=5.9629 c=5.9444 alpha=59.90 beta=59.90 gamma=90.00
Element x y z (fractional)
Au 0.5669 0.1250 0.2500
Au 0.1831 0.6250 0.2500
As 0.0000 0.0000 0.0000
As 0.7500 0.2500 0.5000
Au 0.3750 0.4331 0.7500
Au 0.8750 0.8169 0.7500
N 0.5000 0.5000 0.0000
N 0.2500 0.7500 0.5000

Calculated values
Density of states at the Fermi level: 3.61 states/eV per cell
Magnetic moment: 0.0000 μB per atom
Space group: I-42d (122)

=====

Version two
The following is a PBE-GGA calculation of a geometry-optimized AsAu2N structure, from the Alexandria database.

Unit cell a=4.4512 b=4.4512 c=4.4512 alpha=60.00 beta=60.00 gamma=60.00
Element x y z (fractional)
Au 0.7500 0.7500 0.7500
As 0.5000 0.5000 0.5000
Au 0.2500 0.2500 0.2500
N 0.0000 0.0000 0.0000

Calculated values
Density of states at the Fermi level: 1.57 states/eV per cell
Magnetic moment: 0.0000 μB per atom
Space group: Fm-3m (225)

=====

Most stable structure: version one

=====

Version one
The following is a PBE-GGA calculation of a geometry-optimized AsAu3N structure, from the Alexandria database.

Unit cell a=4.4422 b=4.4422 c=4.4422 alpha=90.00 beta=90.00 gamma=90.00
Element x y z (fractional)
As 0.5000 0.5000 0.5000
Au 0.0000 0.0000 0.5000
N 0.0000 0.0000 0.0000
Au 0.0000 0.5000 0.0000
Au 0.5000 0.0000 0.0000

Calculated values
Density of states at the Fermi level: 2.77 states/eV per cell
Magnetic moment: 0.0000 μB per atom
Space group: Pm-3m (221)

=====

Version two
The following is a PBE-GGA calculation of a geometry-optimized AsAu3N structure, from the Alexandria database.

Unit cell a=4.9607 b=4.9607 c=4.9607 alpha=90.00 beta=90.00 gamma=90.00
Element x y z (fractional)
Au 0.0000 0.0000 0.5000
N 0.5000 0.5000 0.5000
As 0.0000 0.0000 0.0000
Au 0.0000 0.5000 0.0000
Au 0.5000 0.0000 0.0000

Calculated values
Density of states at the Fermi level: 0.04 states/eV per cell
Magnetic moment: 0.6000 μB per atom
Space group: Pm-3m (221)

=====

Most stable structure: version one

=====

Version one
The following is a PBE-GGA calculation of a geometry-optimized AsAuS2N structure, from the Alexandria database.

Unit cell a=5.0144 b=5.0144 c=3.7698 alpha=90.00 beta=90.00 gamma=90.00
Element x y z (fractional)
N 0.0000 0.0000 0.5000
S 0.5000 0.0000 0.0000
S 0.0000 0.5000 0.0000
Au 0.0000 0.0000 0.0000
As 0.5000 0.5000 0.5000

Calculated values
Density of states at the Fermi level: 3.22 states/eV per cell
Magnetic moment: 0.0000 μB per atom
Space group: P4/mmm (123)

=====

Version two
The following is a PBE-GGA calculation of a geometry-optimized AsAuS2N structure, from the Alexandria database.

Unit cell a=4.9271 b=4.9271 c=3.5235 alpha=90.00 beta=90.00 gamma=90.00
Element x y z (fractional)
As 0.0000 0.0000 0.0000
S 0.0000 0.5000 0.0000
S 0.5000 0.0000 0.0000
Au 0.5000 0.5000 0.5000
N 0.0000 0.0000 0.5000

Calculated values
Density of states at the Fermi level: 4.68 states/eV per cell
Magnetic moment: 0.0000 μB per atom
Space group: P4/mmm (123)

=====

Most stable structure: version two

=====

Version one
The following is a PBE-GGA calculation of a geometry-optimized As2AuSeN structure, from the Alexandria database.

Unit cell a=4.3723 b=4.3723 c=4.4982 alpha=90.00 beta=90.00 gamma=90.00
Element x y z (fractional)
N 0.0000 0.0000 0.0000
As 0.0000 0.5000 0.0000
Se 0.0000 0.0000 0.5000
As 0.5000 0.0000 0.0000
Au 0.5000 0.5000 0.5000

Calculated values
Density of states at the Fermi level: 2.35 states/eV per cell
Magnetic moment: 0.0000 μB per atom
Space group: P4/mmm (123)

=====

Version two
The following is a PBE-GGA calculation of a geometry-optimized As2AuSeN structure, from the Alexandria database.

Unit cell a=4.9961 b=4.9961 c=5.0572 alpha=90.00 beta=90.00 gamma=90.00
Element x y z (fractional)
Au 0.0000 0.0000 0.0000
As 0.5000 0.0000 0.0000
N 0.5000 0.5000 0.5000
Se 0.0000 0.0000 0.5000
As 0.0000 0.5000 0.0000

Calculated values
Density of states at the Fermi level: 7.33 states/eV per cell
Magnetic moment: 0.0003 μB per atom
Space group: P4/mmm (123)

=====

Most stable structure: version one

=====

Version one
The following is a PBE-GGA calculation of a geometry-optimized AsAuSeN2 structure, from the Alexandria database.

Unit cell a=3.6973 b=3.6973 c=6.4952 alpha=90.00 beta=90.00 gamma=90.00
Element x y z (fractional)
N 0.5000 0.0000 0.0000
Au 0.5000 0.5000 0.5000
N 0.0000 0.5000 0.0000
As 0.0000 0.0000 0.0000
Se 0.0000 0.0000 0.5000

Calculated values
Density of states at the Fermi level: 3.85 states/eV per cell
Magnetic moment: 0.1853 μB per atom
Space group: P4/mmm (123)

=====

Version two
The following is a PBE-GGA calculation of a geometry-optimized AsAuSeN2 structure, from the Alexandria database.

Unit cell a=3.9132 b=3.9132 c=7.7662 alpha=90.00 beta=90.00 gamma=90.00
Element x y z (fractional)
As 0.5000 0.5000 0.5000
N 0.5000 0.0000 0.0000
Au 0.0000 0.0000 0.0000
N 0.0000 0.5000 0.0000
Se 0.0000 0.0000 0.5000

Calculated values
Density of states at the Fermi level: 2.42 states/eV per cell
Magnetic moment: 0.4683 μB per atom
Space group: P4/mmm (123)

=====

Most stable structure: version one

=====

Version one
The following is a PBE-GGA calculation of a geometry-optimized Na2As2Au structure, from the Alexandria database.

Unit cell a=6.8182 b=6.8182 c=4.7578 alpha=90.00 beta=90.00 gamma=90.00
Element x y z (fractional)
As 0.3673 0.8673 0.0000
Na 0.1728 0.6728 0.5000
Au 0.0000 0.0000 0.0000
Na 0.6728 0.8272 0.5000
Na 0.8272 0.3272 0.5000
As 0.1327 0.3673 0.0000
Au 0.5000 0.5000 0.0000
As 0.6327 0.1327 0.0000
As 0.8673 0.6327 0.0000
Na 0.3272 0.1728 0.5000

Calculated values
Density of states at the Fermi level: 3.53 states/eV per cell
Magnetic moment: 0.0000 μB per atom
Space group: P4/mbm (127)

=====

Version two
The following is a PBE-GGA calculation of a geometry-optimized Na2As2Au structure, from the Alexandria database.

Unit cell a=4.1579 b=4.3943 c=6.7540 alpha=108.98 beta=90.00 gamma=90.00
Element x y z (fractional)
Au 0.5000 0.1084 0.2167
As 0.5000 0.5039 0.0077
As 0.5000 0.3136 0.6271
Na 0.0000 0.6885 0.3769
Na 0.0000 0.9278 0.8556

Calculated values
Density of states at the Fermi level: 1.35 states/eV per cell
Magnetic moment: 0.0000 μB per atom
Space group: Amm2 (38)

=====

Version three
The following is a PBE-GGA calculation of a geometry-optimized Na2As2Au structure, from the Alexandria database.

Unit cell a=4.3838 b=4.3838 c=6.7633 alpha=71.09 beta=71.09 gamma=90.00
Element x y z (fractional)
Na 0.2500 0.7500 0.5000
As 0.4056 0.4056 0.1889
Na 0.7500 0.2500 0.5000
Au 0.0000 0.0000 0.0000
As 0.5944 0.5944 0.8111

Calculated values
Density of states at the Fermi level: 2.15 states/eV per cell
Magnetic moment: 0.0000 μB per atom
Space group: I4/mmm (139)

=====

Most stable structure: version one